First-principles (PBE) data for an optimized crystal structure of Pm2Nd2Dy5, as listed in Alexandria.

extended XYZ file:
```
9
Lattice="-2.819 2.014 -0.542 3.035 1.775 -9.187 -5.659 -9.527 5.379" Properties=species:S:1:pos:R:3 pbc="T T T"
Pm -3.438 -3.128 -5.083
Pm -2.005 -2.609 0.733
Dy -4.042 -5.241 1.546
Dy -1.401 -0.496 -5.896
Dy -4.426 -3.601 -1.704
Dy -1.017 -2.137 -2.646
Dy 0.000 0.000 0.000
Nd -0.507 1.487 -3.180
Nd -4.936 -7.224 -1.170
```

- Relative energy among the computed polymorphs: 0.000 eV per atom
- Energy relative to the elements: 3.25 kcal/mol of atoms

First-principles (PBE) data for an optimized crystal structure of Ni2AgRh, as listed in Alexandria.

extended XYZ file:
```
4
Lattice="2.645 -0.004 0.000 -1.191 2.362 0.000 0.000 0.000 8.876" Properties=species:S:1:pos:R:3 pbc="T T T"
Rh 0.000 0.000 4.249
Ag 0.727 1.179 6.753
Ni 0.727 1.179 2.136
Ni 0.000 0.000 0.177
```

- Energy relative to the elements: 6.46 kcal/mol of atoms

First-principles (PBE) data for an optimized crystal structure of P2IrPb, as listed in Alexandria.

extended XYZ file:
```
4
Lattice="-0.524 -4.045 1.858 3.798 0.122 1.336 -1.256 1.731 3.414" Properties=species:S:1:pos:R:3 pbc="T T T"
Ir -0.890 -1.157 2.636
P 1.271 0.926 2.375
P 0.000 0.000 0.000
Pb 1.637 -1.962 1.597
```

- Energy relative to the elements: 17.77 kcal/mol of atoms

First-principles (PBE) data for an optimized crystal structure of Th2ZrPd, as listed in Alexandria.

extended XYZ file:
```
4
Lattice="3.337 0.000 0.000 1.668 2.890 0.000 1.668 0.963 10.897" Properties=species:S:1:pos:R:3 pbc="T T T"
Th 5.005 2.890 3.063
Th 1.668 0.963 7.834
Zr 0.000 0.000 0.000
Pd 3.337 1.927 5.449
```

- Relative energy among the computed polymorphs: 0.380 eV per atom
- Energy relative to the elements: 2.92 kcal/mol of atoms

First-principles (PBE) data for an optimized crystal structure of Li2OsBr, as listed in Alexandria.

extended XYZ file:
```
4
Lattice="-0.391 1.215 6.130 -4.213 -1.814 4.262 4.374 -1.049 -4.355" Properties=species:S:1:pos:R:3 pbc="T T T"
Br -1.269 -1.608 2.999
Os -2.202 -0.287 4.971
Li 1.100 -0.033 2.900
Li -0.161 -0.021 0.362
```

- Relative energy among the computed polymorphs: 0.319 eV per atom
- Formation energy from raw total energies: 0.340 eV/atom

First-principles (PBE) data for an optimized crystal structure of MnCr2As, as listed in Alexandria.

extended XYZ file:
```
4
Lattice="4.756 -0.003 -0.001 2.239 4.197 0.001 -3.183 -2.621 2.370" Properties=species:S:1:pos:R:3 pbc="T T T"
As 1.277 1.836 1.186
Cr 3.488 2.091 0.000
Cr 0.010 0.006 0.000
Mn 2.535 -0.263 1.185
```

- Energy relative to the elements: 0.38 kcal/mol of atoms

First-principles (PBE) data for an optimized crystal structure of ScTa2Al, as listed in Alexandria.

extended XYZ file:
```
4
Lattice="5.087 -0.006 0.007 4.240 2.811 0.007 0.745 0.224 5.196" Properties=species:S:1:pos:R:3 pbc="T T T"
Ta 0.786 0.236 5.116
Ta 7.629 2.294 3.896
Al 4.986 1.500 2.627
Sc 2.453 0.738 1.372
```

- Energy relative to the elements: -0.30 kcal/mol of atoms

First-principles (PBE) data for an optimized crystal structure of Pr2HoPb, as listed in Alexandria.

extended XYZ file:
```
4
Lattice="5.629 0.000 0.000 2.814 4.874 0.000 2.814 1.625 4.596" Properties=species:S:1:pos:R:3 pbc="T T T"
Pr 8.443 4.874 3.447
Pr 2.814 1.625 1.149
Pb 5.629 3.250 2.298
Ho 0.000 0.000 0.000
```

- Relative energy among the computed polymorphs: 0.161 eV per atom
- Energy relative to the elements: -3.52 kcal/mol of atoms

First-principles (PBE) data for an optimized crystal structure of Ce3ScSe6, as listed in Alexandria.

extended XYZ file:
```
20
Lattice="6.933 0.000 -0.157 0.000 7.683 0.000 -0.145 0.000 10.333" Properties=species:S:1:pos:R:3 pbc="T T T"
Se 4.506 1.461 5.788
Se 2.323 4.222 7.565
Se 2.282 6.223 4.388
Se 4.465 3.461 2.610
Se 5.676 5.302 9.475
Se 1.191 2.496 4.375
Se 4.585 1.346 9.462
Se 1.112 2.381 0.700
Se 5.862 7.303 2.320
Se 2.203 6.338 0.713
Se 5.597 5.187 5.801
Se 0.926 0.380 7.855
Ce 3.466 3.842 -0.079
Ce -0.072 0.000 5.166
Ce 3.124 0.820 2.580
Ce 6.518 3.022 7.667
Ce 3.664 6.863 7.596
Ce 0.270 4.662 2.508
Sc 3.394 3.842 5.088
Sc 0.000 0.000 0.000
```

- Formation energy from raw total energies: -1.747 eV/atom

First-principles (PBE) data for an optimized crystal structure of TiFe2CuTc, as listed in Alexandria.

extended XYZ file:
```
5
Lattice="-3.953 0.378 2.104 1.524 -2.713 3.350 1.525 3.597 2.219" Properties=species:S:1:pos:R:3 pbc="T T T"
Fe -1.976 0.189 1.052
Fe 0.763 1.799 1.110
Tc 0.000 0.000 0.000
Cu -0.452 0.631 3.836
Ti 0.762 -1.356 1.675
```

- Energy relative to the elements: 28.30 kcal/mol of atoms

First-principles (PBE) data for an optimized crystal structure of ScNbAs2Se, as listed in Alexandria.

extended XYZ file:
```
5
Lattice="-2.940 1.852 3.573 -2.065 -4.492 0.630 3.465 -1.113 3.428" Properties=species:S:1:pos:R:3 pbc="T T T"
As -1.470 0.926 1.787
As -1.033 -2.246 0.315
Sc -0.770 -1.876 3.815
Se 1.733 -0.556 1.714
Nb 0.000 0.000 0.000
```

- Relative energy among the computed polymorphs: 0.000 eV per atom
- Formation energy from raw total energies: -0.058 eV/atom

First-principles (PBE) data for an optimized crystal structure of Ni2IrPt2Rh2, as listed in Alexandria.

extended XYZ file:
```
7
Lattice="-1.403 0.838 -3.450 2.578 -3.856 0.127 -5.306 -2.505 1.550" Properties=species:S:1:pos:R:3 pbc="T T T"
Rh -4.288 -1.893 -0.827
Rh 0.157 -3.630 -0.945
Pt -2.434 -3.474 -1.966
Pt -1.696 -2.048 0.193
Ni -3.531 -4.118 0.436
Ni -0.600 -1.405 -2.209
Ir 0.000 0.000 0.000
```

- Energy relative to the elements: 0.00 kcal/mol of atoms

First-principles (PBE) data for an optimized crystal structure of In8Ag3Hg2, as listed in Alexandria.

extended XYZ file:
```
13
Lattice="4.556 0.000 0.000 0.000 8.404 -4.012 0.000 0.229 8.489" Properties=species:S:1:pos:R:3 pbc="T T T"
In 0.000 5.103 -0.546
In 2.278 7.649 -1.026
In 4.556 1.354 1.799
In 2.278 5.644 4.587
In 0.000 7.278 2.678
In 2.278 0.984 5.504
In 2.278 2.988 -0.110
In 4.556 3.530 5.023
Ag 4.556 6.875 -2.793
Ag 2.278 0.000 0.000
Ag 0.000 1.757 7.271
Hg 2.278 2.919 3.011
Hg 2.278 5.714 1.466
```

- Energy relative to the elements: 0.72 kcal/mol of atoms

First-principles (PBE) data for an optimized crystal structure of K2Sn3HgPt4, as listed in Alexandria.

extended XYZ file:
```
10
Lattice="4.786 0.000 0.000 0.000 4.786 0.000 0.000 0.000 10.604" Properties=species:S:1:pos:R:3 pbc="T T T"
Pt 0.000 0.000 0.000
Pt 0.000 2.393 3.914
Pt 2.393 0.000 6.690
Pt 2.393 2.393 0.000
K 0.000 2.393 7.989
K 2.393 0.000 2.615
Hg 2.393 2.393 5.302
Sn 0.000 2.393 1.256
Sn 2.393 0.000 9.348
Sn 0.000 0.000 5.302
```

- Energy relative to the elements: -9.36 kcal/mol of atoms

First-principles (PBE) data for an optimized crystal structure of La4PaRh4, as listed in Alexandria.

extended XYZ file:
```
9
Lattice="4.147 0.000 0.980 1.666 7.090 2.212 0.143 0.766 8.659" Properties=species:S:1:pos:R:3 pbc="T T T"
Pa 2.073 0.000 0.490
La 2.389 4.431 8.418
La 3.567 3.426 3.433
La 5.143 6.509 6.028
La 0.813 1.348 5.823
Rh 4.279 2.432 9.682
Rh 4.411 6.531 9.126
Rh 1.545 1.326 2.725
Rh 1.676 5.425 2.169
```

- Energy relative to the elements: -16.21 kcal/mol of atoms

First-principles (PBE) data for an optimized crystal structure of Ac6OsAu, as listed in Alexandria.

extended XYZ file:
```
16
Lattice="-5.703 -3.090 6.511 -5.421 2.299 -7.056 6.288 -7.793 -2.645" Properties=species:S:1:pos:R:3 pbc="T T T"
Ac -1.456 -7.025 -1.397
Ac -3.262 -1.124 -5.723
Ac -1.575 -7.461 2.534
Ac -3.063 -4.882 -4.329
Ac -7.400 -1.845 -1.989
Ac 0.693 -6.187 -5.151
Ac 0.351 -3.241 -2.458
Ac -5.188 -5.344 -0.732
Ac -5.529 -2.397 1.961
Ac -3.380 -1.560 -1.792
Ac 2.563 -6.739 -1.200
Ac -1.774 -3.703 1.140
Au -2.851 -1.545 3.255
Au -2.711 1.150 -3.528
Os 3.144 -3.897 -1.322
Os -2.418 -4.292 -1.595
```

- Energy relative to the elements: -1.10 kcal/mol of atoms

First-principles (PBE) data for an optimized crystal structure of PuThCdPd, as listed in Alexandria.

extended XYZ file:
```
4
Lattice="5.228 0.000 0.000 2.614 4.528 0.000 2.614 1.509 4.269" Properties=species:S:1:pos:R:3 pbc="T T T"
Pd 2.614 1.509 1.067
Cd 7.842 4.528 3.202
Pu 0.000 0.000 0.000
Th 5.228 3.019 2.134
```

- Energy relative to the elements: -4.04 kcal/mol of atoms

First-principles (PBE) data for an optimized crystal structure of YBe2Pt, as listed in Alexandria.

extended XYZ file:
```
4
Lattice="-0.653 -3.718 -1.224 -0.494 -2.909 2.654 -5.219 -1.290 0.483" Properties=species:S:1:pos:R:3 pbc="T T T"
Be -1.728 -1.952 0.478
Be -1.971 -6.470 1.430
Pt -2.287 -4.129 0.955
Y -4.709 -5.953 1.435
```

- Relative energy among the computed polymorphs: 0.064 eV per atom
- Energy relative to the elements: -14.00 kcal/mol of atoms

First-principles (PBE) data for an optimized crystal structure of Tl2TcRu, as listed in Alexandria.

extended XYZ file:
```
4
Lattice="4.771 0.000 0.000 2.385 4.131 0.000 2.385 1.377 3.895" Properties=species:S:1:pos:R:3 pbc="T T T"
Tc 7.156 4.131 2.921
Ru 4.771 2.754 1.948
Tl 2.385 1.377 0.974
Tl 0.000 0.000 0.000
```

- Relative energy among the computed polymorphs: 0.584 eV per atom
- Energy relative to the elements: 22.50 kcal/mol of atoms

First-principles (PBE) data for an optimized crystal structure of MgZn2W, as listed in Alexandria.

extended XYZ file:
```
4
Lattice="-4.415 -2.655 0.035 -0.792 -3.205 3.955 1.422 4.912 -0.626" Properties=species:S:1:pos:R:3 pbc="T T T"
Zn 0.000 0.000 0.000
Zn -0.986 -0.611 2.662
W -2.798 -0.336 0.702
Mg -2.603 -2.930 1.995
```

- Energy relative to the elements: 9.00 kcal/mol of atoms

Calculated density of states at the Fermi level, 15.4; 6.1; 1.5; 5.0; 3.3; 3.4; 3.1; 7.6; 19.2; 6.1; 3.3; 11.7; 4.0; 4.9; 7.7; 10.0; 12.5; 1.4; 5.9; 2.0 states/eV/f.u. (same order as the records).